# 1
DFT (PBE-GGA) results for a relaxed NiHg2AsOs crystal.

Computed properties:
SG: P4/mmm (123)
Volume (A^3/atom): 25.68
Theoretical density (g cm⁻³): 9.377
ΔH_f (0 K) (kJ per mole of atoms): 93.6

Cell lengths 5.3046, 4.5629, 5.3046 Å; angles 90.00, 90.00, 90.00 degrees
Each line ends with the local moment (μB).
Sites, in units of the cell vectors:
Ni1 0.5000 0.5000 0.5000  0.76
As1 0.0000 0.5000 0.0000  0.00
Os1 0.0000 0.0000 0.0000  0.03
Hg1 0.0000 0.0000 0.5000  0.00
Hg2 0.5000 0.0000 0.0000  0.00



# 2
DFT (PBE-GGA) results for a relaxed RbNiHg2As crystal.

Computed properties:
SG: P4/mmm (123)
Volume (A^3/atom): 25.96
Theoretical density (g cm⁻³): 7.936
ΔH_f (0 K) (kJ per mole of atoms): -6.7

Cell lengths 5.2579, 5.2579, 4.6947 Å; angles 90.00, 90.00, 90.00 degrees
Sites, in units of the cell vectors:
Ni1 0.0000 0.0000 0.0000
As1 0.0000 0.0000 0.5000
Hg1 0.0000 0.5000 0.0000
Hg2 0.5000 0.0000 0.0000
Rb1 0.5000 0.5000 0.5000



# 3
DFT (PBE-GGA) results for a relaxed NiSn2HgAs crystal.

Computed properties:
SG: P4/mmm (123)
Volume (A^3/atom): 24.29
Theoretical density (g cm⁻³): 7.814
ΔH_f (0 K) (kJ per mole of atoms): 21.5

Cell lengths 4.9473, 4.9629, 4.9473 Å; angles 90.00, 90.00, 90.00 degrees
Sites, in units of the cell vectors:
Ni1 0.0000 0.0000 0.0000
As1 0.5000 0.5000 0.5000
Hg1 0.0000 0.5000 0.0000
Sn1 0.0000 0.0000 0.5000
Sn2 0.5000 0.0000 0.0000



# 4
DFT (PBE-GGA) results for a relaxed Tl2NiHgAs crystal.

Computed properties:
SG: P4/mmm (123)
Volume (A^3/atom): 34.79
Theoretical density (g cm⁻³): 7.093
ΔH_f (0 K) (kJ per mole of atoms): 98.9

Cell lengths 5.7759, 5.7759, 5.2140 Å; angles 90.00, 90.00, 90.00 degrees
Each line ends with the local moment (μB).
Sites, in units of the cell vectors:
As1 0.0000 0.0000 0.5000  0.04
Tl1 0.0000 0.5000 0.0000  0.00
Tl2 0.5000 0.0000 0.0000  0.00
Hg1 0.0000 0.0000 0.0000  0.00
Ni1 0.5000 0.5000 0.5000  0.96



# 5
DFT (PBE-GGA) results for a relaxed YNiHg2As crystal.

Computed properties:
SG: P4/mmm (123)
Volume (A^3/atom): 24.44
Theoretical density (g cm⁻³): 8.475
ΔH_f (0 K) (kJ per mole of atoms): 13.0

Cell lengths 5.3221, 4.3146, 5.3221 Å; angles 90.00, 90.00, 90.00 degrees
Sites, in units of the cell vectors:
Y1 0.5000 0.5000 0.5000
Ni1 0.0000 0.5000 0.0000
As1 0.0000 0.0000 0.0000
Hg1 0.0000 0.0000 0.5000
Hg2 0.5000 0.0000 0.0000



# 6
DFT (PBE-GGA) results for a relaxed NpHgAs crystal.

Computed properties:
SG: P4/nmm (129)
Volume (A^3/atom): 24.10
Theoretical density (g cm⁻³): 11.773
ΔH_f (0 K) (kJ per mole of atoms): -11.4

Cell lengths 3.3903, 3.3903, 12.5777 Å; angles 90.00, 90.00, 90.00 degrees
Sites, in units of the cell vectors:
Np1 0.0000 0.5000 0.5405
Np2 0.5000 0.0000 0.4595
As1 0.5000 0.0000 0.6787
As2 0.0000 0.5000 0.3213
Hg1 0.0000 0.5000 0.8967
Hg2 0.5000 0.0000 0.1033



# 7
DFT (PBE-GGA) results for a relaxed NpHgAs2 crystal.

Computed properties:
SG: P4/mmm (123)
Volume (A^3/atom): 20.78
Theoretical density (g cm⁻³): 11.735
ΔH_f (0 K) (kJ per mole of atoms): -26.9
Polymorph energy (0 for the lowest one) (meV/atom): 0

Cell lengths 3.8102, 4.6708, 4.6708 Å; angles 90.00, 90.00, 90.00 degrees
Each line ends with the local moment (μB).
Sites, in units of the cell vectors:
Np1 0.5000 0.0000 0.0000  3.37
As1 0.0000 0.0000 0.5000  -0.09
As2 0.0000 0.5000 0.0000  -0.09
Hg1 0.5000 0.5000 0.5000  0.00



# 8
DFT (PBE-GGA) results for a relaxed NpHgAs2 crystal.

Computed properties:
SG: R-3m (166)
Volume (A^3/atom): 23.75
Theoretical density (g cm⁻³): 10.268
ΔH_f (0 K) (kJ per mole of atoms): -9.8
Polymorph energy (0 for the lowest one) (meV/atom): 178

Cell lengths 4.3374, 4.3374, 6.3460 Å; angles 70.02, 70.02, 60.00 degrees
Each line ends with the local moment (μB).
Sites, in units of the cell vectors:
Np1 0.0000 0.0000 0.0000  3.42
As1 0.2558 0.2558 0.2325  -0.13
As2 0.7442 0.7442 0.7675  -0.13
Hg1 0.5000 0.5000 0.5000  -0.02



# 9
DFT (PBE-GGA) results for a relaxed Np2HgAs crystal.

Computed properties:
SG: P4/mmm (123)
Volume (A^3/atom): 23.77
Theoretical density (g cm⁻³): 13.092
ΔH_f (0 K) (kJ per mole of atoms): -13.5

Cell lengths 3.6130, 3.6130, 7.2828 Å; angles 90.00, 90.00, 90.00 degrees
Each line ends with the local moment (μB).
Sites, in units of the cell vectors:
Np1 0.0000 0.0000 0.7832  4.25
Np2 0.0000 0.0000 0.2168  4.25
As1 0.5000 0.5000 0.0000  -0.11
Hg1 0.5000 0.5000 0.5000  0.06



# 10
DFT (PBE-GGA) results for a relaxed NpHgAsO6 crystal.

Computed properties:
Raw formation energy (eV/atom): -1.57
SG: P1 (1)
Volume (A^3/atom): 17.01
Theoretical density (g cm⁻³): 6.601

Cell lengths 5.7703, 6.0477, 5.1159 Å; angles 87.86, 79.02, 61.06 degrees
Sites, in units of the cell vectors:
Np1 0.6710 0.6641 0.5012
Hg1 0.9709 0.9998 0.9788
As1 0.4208 0.3194 0.5111
O1 0.9790 0.4477 0.2589
O2 0.3381 0.9229 0.7288
O3 0.6460 0.3388 0.7029
O4 0.8820 0.6940 0.7241
O5 0.4362 0.5807 0.3080
O6 0.6557 0.0325 0.2861



# 11
DFT (PBE-GGA) results for a relaxed NpHgAs2O8 crystal.

Computed properties:
Raw formation energy (eV/atom): -1.46
SG: R-3 (148)
Volume (A^3/atom): 17.90
Theoretical density (g cm⁻³): 5.532

Cell lengths 5.3567, 5.3567, 9.1792 Å; angles 73.04, 73.04, 60.00 degrees
Each line ends with the local moment (μB).
Sites, in units of the cell vectors:
Np1 0.0000 0.0000 0.0000  1.91
Hg1 0.5000 0.5000 0.5000  -0.07
As1 0.2575 0.2575 0.2275  0.00
As2 0.7425 0.7425 0.7725  0.00
O1 0.1935 0.1935 0.4196  -0.04
O2 0.6049 0.2369 0.1432  -0.04
O3 0.8065 0.8065 0.5804  -0.04
O4 0.0150 0.6049 0.1432  -0.04
O5 0.9850 0.3951 0.8568  -0.04
O6 0.2369 0.0150 0.1432  -0.04
O7 0.7631 0.9850 0.8568  -0.04
O8 0.3951 0.7631 0.8568  -0.04



# 12
DFT (PBE-GGA) results for a relaxed HgAs3O crystal.

Computed properties:
Raw formation energy (eV/atom): 0.39
SG: Pm-3m (221)
Volume (A^3/atom): 18.48
Theoretical density (g cm⁻³): 7.930
Polymorph energy (0 for the lowest one) (meV/atom): 0

Cell lengths 4.5212, 4.5212, 4.5212 Å; angles 90.00, 90.00, 90.00 degrees
Sites, in units of the cell vectors:
As1 0.0000 0.5000 0.0000
As2 0.0000 0.0000 0.5000
As3 0.5000 0.0000 0.0000
Hg1 0.5000 0.5000 0.5000
O1 0.0000 0.0000 0.0000



Q: What is the volume in the seventh record?
A: 20.78 A^3/atom